Entry 1:
Entry from the Alexandria database: a geometry-optimized TmGa4Tc structure (PBE). Values from VASP.

Values from the calculation:
- total moment (μB per cell) = 0.0
- energy relative to the lowest polymorph listed for this composition (eV per atom) = 0.090
- space group = Immm, No. 71

The structure in Quantum ESPRESSO input format:
```
&SYSTEM
  ibrav = 0, nat = 6, ntyp = 3
/
ATOMIC_SPECIES
Tm 168.93 Tm.upf
Ga 69.72 Ga.upf
Tc 98.00 Tc.upf
CELL_PARAMETERS angstrom
-2.366 2.915 3.769
2.366 -2.915 3.769
2.366 2.915 -3.769
ATOMIC_POSITIONS crystal
Tm 0.000 0.000 0.000
Ga 0.106 0.335 0.771
Ga 0.436 0.665 0.771
Ga 0.564 0.335 0.229
Ga 0.894 0.665 0.229
Tc 0.500 0.000 0.500
```

=====

Entry 2:
Entry from the Alexandria database: a geometry-optimized Tm4GaTc structure (PBE). Values from VASP.

Values from the calculation:
- electronic total energy (eV per cell) = -66.0
- total moment (μB per cell) = 0.0
- space group = C2/c, No. 15

The structure in Quantum ESPRESSO input format:
```
&SYSTEM
  ibrav = 0, nat = 12, ntyp = 3
/
ATOMIC_SPECIES
Tm 168.93 Tm.upf
Ga 69.72 Ga.upf
Tc 98.00 Tc.upf
CELL_PARAMETERS angstrom
4.410 -6.455 0.000
4.410 6.455 0.000
-2.946 0.000 5.387
ATOMIC_POSITIONS crystal
Tm 0.056 0.709 0.919
Tm 0.220 0.357 0.693
Tm 0.291 0.944 0.581
Tm 0.357 0.220 0.193
Tm 0.643 0.780 0.807
Tm 0.709 0.056 0.419
Tm 0.780 0.643 0.307
Tm 0.944 0.291 0.081
Ga 0.369 0.631 0.250
Ga 0.631 0.369 0.750
Tc 0.000 0.000 0.250
Tc 0.000 0.000 0.750
```

=====

Entry 3:
Entry from the Alexandria database: a geometry-optimized TmGa5Tc structure (PBE). Values from VASP.

Values from the calculation:
- electronic total energy (eV per cell) = -32.5
- total moment (μB per cell) = 0.0
- space group = P4/mmm, No. 123

The structure in Quantum ESPRESSO input format:
```
&SYSTEM
  ibrav = 0, nat = 7, ntyp = 3
/
ATOMIC_SPECIES
Tm 168.93 Tm.upf
Ga 69.72 Ga.upf
Tc 98.00 Tc.upf
CELL_PARAMETERS angstrom
4.326 0.000 0.000
0.000 4.326 0.000
0.000 0.000 6.900
ATOMIC_POSITIONS crystal
Tm 0.000 0.000 0.000
Ga 0.000 0.500 0.302
Ga 0.000 0.500 0.698
Ga 0.500 0.000 0.302
Ga 0.500 0.000 0.698
Ga 0.500 0.500 0.000
Tc 0.000 0.000 0.500
```